Density functional theory data (GGA-PBE) for a geometry-optimized Pr5TmSb4 structure.

As for the space group: C2/m. The raw formation energy comes out at -780 meV/atom. For the uncorrected energy, the calculation gives -5.266 eV/atom.

Cell lengths 4.4126, 8.7085, 9.8740 Å; angles 104.45, 102.91, 90.00 degrees
Fractional positions:
Pr 0.8274 0.6523 0.6549
Pr 0.8342 0.1727 0.6683
Pr 0.1658 0.8273 0.3317
Pr 0.5000 0.5000 0.0000
Pr 0.1726 0.3477 0.3451
Tm 0.5000 0.0000 0.0000
Sb 0.3348 0.9139 0.6695
Sb 0.9957 0.7553 0.9913
Sb 0.6652 0.0861 0.3305
Sb 0.0043 0.2447 0.0087

---

Density functional theory data (GGA-PBE) for a geometry-optimized Pr3TmSb4 structure.

As for the space group: P2/c. The raw formation energy comes out at -1150 meV/atom. For the uncorrected energy, the calculation gives -5.563 eV/atom.

Cell lengths 7.8014, 7.7959, 9.0278 Å; angles 90.00, 90.00, 109.52 degrees
Fractional positions:
Pr 0.7500 0.0000 0.3741
Pr 0.2500 0.0000 0.6259
Pr 0.7500 0.5000 0.6262
Pr 0.7500 0.5000 0.1244
Pr 0.2500 0.5000 0.3738
Pr 0.2500 0.5000 0.8756
Sb 0.9950 0.2454 0.6299
Sb 0.5002 0.2400 0.8803
Sb 0.4950 0.2454 0.3701
Sb 0.0002 0.2400 0.1197
Sb 0.9998 0.7600 0.8803
Sb 0.5050 0.7546 0.6299
Sb 0.4998 0.7600 0.1197
Sb 0.0050 0.7546 0.3701
Tm 0.7500 0.0000 0.8755
Tm 0.2500 0.0000 0.1245

---

Density functional theory data (GGA-PBE) for a geometry-optimized Pr3TmSb2 structure.

Its relative energy among the computed polymorphs is 0.206 eV/atom. As for the space group: Ibam. The raw formation energy comes out at -613 meV/atom. For the uncorrected energy, the calculation gives -5.122 eV/atom.

Cell lengths 7.2660, 8.0392, 9.0594 Å; angles 116.34, 113.64, 90.00 degrees
Fractional positions:
Pr 0.5000 0.2500 0.0000
Pr 0.5000 0.7500 0.0000
Pr 0.7904 0.0404 0.5807
Pr 0.2096 0.4596 0.4193
Pr 0.2096 0.9596 0.4193
Pr 0.7904 0.5404 0.5807
Tm 0.0000 0.5000 0.0000
Tm 0.0000 0.0000 0.0000
Sb 0.5410 0.3565 0.7131
Sb 0.8280 0.1435 0.2869
Sb 0.1720 0.8565 0.7131
Sb 0.4590 0.6435 0.2869

---

Density functional theory data (GGA-PBE) for a geometry-optimized Pr3TmSb4 structure.

As for the space group: Cmmm. The raw formation energy comes out at -1150 meV/atom. For the uncorrected energy, the calculation gives -5.562 eV/atom.

Cell lengths 4.5093, 7.8005, 7.8005 Å; angles 109.50, 90.00, 90.00 degrees
Fractional positions:
Pr 0.0000 0.0000 0.5000
Pr 0.5000 0.5000 0.5000
Pr 0.0000 0.5000 0.0000
Tm 0.5000 0.0000 0.0000
Sb 0.0000 0.2404 0.2404
Sb 0.5000 0.7549 0.2451
Sb 0.0000 0.7596 0.7596
Sb 0.5000 0.2451 0.7549

---

Density functional theory data (GGA-PBE) for a geometry-optimized Pr3USb4 structure.

As for the space group: Cmmm. The raw formation energy comes out at -931 meV/atom. For the uncorrected energy, the calculation gives -6.196 eV/atom.

Cell lengths 4.4894, 7.8251, 7.8251 Å; angles 109.05, 90.00, 90.00 degrees
Last column: magnetic moment on the atom in μB.
Fractional positions:
Pr 0.0000 0.0000 0.5000  0.01
Pr 0.5000 0.5000 0.5000  0.02
Pr 0.0000 0.5000 0.0000  0.01
Sb 0.0000 0.2427 0.2427  -0.04
Sb 0.5000 0.7557 0.2443  -0.02
Sb 0.0000 0.7573 0.7573  -0.04
Sb 0.5000 0.2443 0.7557  -0.02
U 0.5000 0.0000 0.0000  2.42

---

Density functional theory data (GGA-PBE) for a geometry-optimized PrUSb structure.

As for the space group: C2/m. The raw formation energy comes out at -445 meV/atom. For the uncorrected energy, the calculation gives -7.175 eV/atom.

Cell lengths 3.9982, 4.8414, 8.8260 Å; angles 92.39, 103.09, 90.00 degrees
Last column: magnetic moment on the atom in μB.
Fractional positions:
U 0.7581 0.1720 0.5161  1.83
U 0.2419 0.8280 0.4839  1.83
Pr 0.5742 0.7523 0.1484  0.00
Pr 0.4258 0.2477 0.8516  0.00
Sb 0.8887 0.7345 0.7774  -0.01
Sb 0.1113 0.2655 0.2226  -0.01

---

Density functional theory data (GGA-PBE) for a geometry-optimized Pr5USb6 structure.

As for the space group: C2/m. The raw formation energy comes out at -1020 meV/atom. For the uncorrected energy, the calculation gives -6.013 eV/atom.

Cell lengths 7.8478, 7.8478, 7.8398 Å; angles 99.60, 99.60, 120.07 degrees
Last column: magnetic moment on the atom in μB.
Fractional positions:
Pr 0.8303 0.1697 0.5000  0.01
Pr 0.6657 0.3343 0.0000  0.01
Pr 0.5000 0.5000 0.5000  0.01
Pr 0.3343 0.6657 0.0000  0.01
Pr 0.1697 0.8303 0.5000  0.01
Sb 0.4071 0.0813 0.2449  -0.02
Sb 0.9187 0.5929 0.7551  -0.02
Sb 0.2425 0.2425 0.7538  -0.02
Sb 0.7575 0.7575 0.2462  -0.02
Sb 0.0813 0.4071 0.2449  -0.02
Sb 0.5929 0.9187 0.7551  -0.02
U 0.0000 0.0000 0.0000  2.39

---

Density functional theory data (GGA-PBE) for a geometry-optimized PrVSb3 structure.

Its relative energy among the computed polymorphs is 0.000 eV/atom. As for the space group: Pbcm. The raw formation energy comes out at -544 meV/atom. For the uncorrected energy, the calculation gives -5.797 eV/atom.

Cell lengths 6.0263, 6.3459, 13.2679 Å; angles 90.00, 90.00, 90.00 degrees
Last column: magnetic moment on the atom in μB.
Fractional positions:
Pr 0.2500 0.5020 0.3101  -0.01
Pr 0.7500 0.4980 0.6899  -0.01
Pr 0.2500 0.0020 0.6899  -0.01
Pr 0.7500 0.9980 0.3101  -0.01
V 0.0000 0.7500 0.9063  0.63
V 0.0000 0.2500 0.0937  0.63
V 0.5000 0.2500 0.0937  0.63
V 0.5000 0.7500 0.9063  0.63
Sb 0.0000 0.7500 0.5012  0.00
Sb 0.0000 0.2500 0.4988  0.00
Sb 0.5000 0.2500 0.4988  0.00
Sb 0.5000 0.7500 0.5012  0.00
Sb 0.2500 0.6032 0.0650  -0.03
Sb 0.7500 0.3968 0.9350  -0.03
Sb 0.2500 0.1032 0.9350  -0.03
Sb 0.7500 0.8968 0.0650  -0.03
Sb 0.2500 0.9981 0.2171  -0.03
Sb 0.7500 0.0019 0.7829  -0.03
Sb 0.2500 0.4981 0.7829  -0.03
Sb 0.7500 0.5019 0.2171  -0.03

---

Density functional theory data (GGA-PBE) for a geometry-optimized PrVSb3 structure.

Its relative energy among the computed polymorphs is 0.443 eV/atom. As for the space group: Pmma. The raw formation energy comes out at -101 meV/atom. For the uncorrected energy, the calculation gives -5.354 eV/atom.

Cell lengths 8.1452, 10.6842, 6.9493 Å; angles 90.00, 90.00, 90.00 degrees
Last column: magnetic moment on the atom in μB.
Fractional positions:
Pr 0.8501 0.7500 0.7500  0.14
Pr 0.1499 0.2500 0.7500  0.14
Pr 0.1499 0.2500 0.2500  0.14
Pr 0.8501 0.7500 0.2500  0.14
V 0.8020 0.2500 0.0000  1.28
V 0.1980 0.7500 0.0000  1.28
V 0.1980 0.7500 0.5000  1.28
V 0.8020 0.2500 0.5000  1.28
Sb 0.4841 0.2500 0.5000  -0.04
Sb 0.1727 0.5549 0.2500  -0.04
Sb 0.8270 0.4452 0.2500  -0.04
Sb 0.4841 0.2500 0.0000  -0.04
Sb 0.5159 0.7500 0.0000  -0.04
Sb 0.1730 0.5548 0.7500  -0.04
Sb 0.8273 0.4451 0.7500  -0.04
Sb 0.8270 0.0548 0.7500  -0.04
Sb 0.1727 0.9451 0.7500  -0.04
Sb 0.5159 0.7500 0.5000  -0.04
Sb 0.8273 0.0549 0.2500  -0.04
Sb 0.1730 0.9452 0.2500  -0.04

---

Density functional theory data (GGA-PBE) for a geometry-optimized PrVSb3 structure.

Its relative energy among the computed polymorphs is 0.245 eV/atom. As for the space group: Pbcm. The raw formation energy comes out at -299 meV/atom. For the uncorrected energy, the calculation gives -5.552 eV/atom.

Cell lengths 6.3268, 8.0863, 10.7182 Å; angles 90.00, 90.00, 90.00 degrees
Last column: magnetic moment on the atom in μB.
Fractional positions:
Pr 0.2500 0.5708 0.3149  0.07
Pr 0.2500 0.0708 0.6851  0.07
Pr 0.7500 0.4292 0.6851  0.07
Pr 0.7500 0.9292 0.3149  0.07
V 0.0000 0.7500 0.8116  2.04
V 0.0000 0.2500 0.1884  2.04
V 0.5000 0.2500 0.1884  2.04
V 0.5000 0.7500 0.8116  2.04
Sb 0.5000 0.7500 0.5531  -0.03
Sb 0.7500 0.5321 0.2284  -0.04
Sb 0.7500 0.7755 0.0177  -0.03
Sb 0.0000 0.7500 0.5531  -0.03
Sb 0.0000 0.2500 0.4469  -0.03
Sb 0.2500 0.2245 0.9823  -0.03
Sb 0.2500 0.4679 0.7716  -0.04
Sb 0.2500 0.7245 0.0177  -0.03
Sb 0.2500 0.9679 0.2284  -0.04
Sb 0.5000 0.2500 0.4469  -0.03
Sb 0.7500 0.0321 0.7716  -0.04
Sb 0.7500 0.2755 0.9823  -0.03

---

Density functional theory data (GGA-PBE) for a geometry-optimized PrYSb2 structure.

Its relative energy among the computed polymorphs is 0.000 eV/atom. As for the space group: R-3m. The raw formation energy comes out at -1175 meV/atom. For the uncorrected energy, the calculation gives -6.047 eV/atom.

Cell lengths 4.4806, 4.4806, 7.7407 Å; angles 89.96, 106.85, 120.03 degrees
Fractional positions:
Pr 0.0000 0.5000 0.5000
Y 0.0000 0.0000 0.0000
Sb 0.5070 0.2535 0.7605
Sb 0.4930 0.7465 0.2395

---

Density functional theory data (GGA-PBE) for a geometry-optimized PrY2Sb structure.

Its relative energy among the computed polymorphs is 0.216 eV/atom. As for the space group: R3m. The raw formation energy comes out at -380 meV/atom. For the uncorrected energy, the calculation gives -5.838 eV/atom.

Cell lengths 4.0415, 4.0415, 9.9215 Å; angles 78.25, 78.25, 60.00 degrees
Last column: magnetic moment on the atom in μB.
Fractional positions:
Pr 0.5007 0.5007 0.4979  0.11
Y 0.0660 0.0660 0.8021  0.08
Y 0.2672 0.2672 0.1985  0.02
Sb 0.6662 0.6662 0.0014  0.00

---

Density functional theory data (GGA-PBE) for a geometry-optimized Pr5Y2Sb4 structure.

As for the space group: C2/m. The raw formation energy comes out at -567 meV/atom. For the uncorrected energy, the calculation gives -5.414 eV/atom.

Cell lengths 4.1807, 8.0760, 17.2860 Å; angles 136.87, 96.95, 90.00 degrees
Fractional positions:
Pr 0.0776 0.6100 0.1553
Pr 0.9224 0.3900 0.8447
Pr 0.1758 0.3947 0.3516
Pr 0.5000 0.0000 0.0000
Pr 0.8242 0.6053 0.6484
Y 0.7821 0.9578 0.5642
Y 0.2179 0.0422 0.4358
Sb 0.6450 0.5914 0.2900
Sb 0.0473 0.8859 0.0946
Sb 0.3550 0.4086 0.7100
Sb 0.9527 0.1141 0.9054

---

Density functional theory data (GGA-PBE) for a geometry-optimized Pr5YSb5 structure.

As for the space group: C2/m. The raw formation energy comes out at -1002 meV/atom. For the uncorrected energy, the calculation gives -5.635 eV/atom.

Cell lengths 6.3652, 7.7803, 8.9756 Å; angles 106.96, 90.00, 114.15 degrees
Fractional positions:
Pr 0.6711 0.3423 0.3319
Pr 0.6652 0.3303 0.8327
Pr 0.0000 0.0000 0.5000
Pr 0.3348 0.6697 0.1673
Pr 0.3289 0.6577 0.6681
Y 0.0000 0.0000 0.0000
Sb 0.8352 0.6703 0.1637
Sb 0.8357 0.6715 0.6703
Sb 0.5000 0.0000 0.0000
Sb 0.1643 0.3285 0.3297
Sb 0.1648 0.3297 0.8363

---

Density functional theory data (GGA-PBE) for a geometry-optimized PrY3Sb3 structure.

Its relative energy among the computed polymorphs is 0.097 eV/atom. As for the space group: R-3. The raw formation energy comes out at -933 meV/atom. For the uncorrected energy, the calculation gives -6.153 eV/atom.

Cell lengths 9.1528, 9.1528, 8.1136 Å; angles 55.66, 55.66, 60.00 degrees
Fractional positions:
Pr 0.3342 0.3342 0.9974
Pr 0.6658 0.6658 0.0026
Y 0.1840 0.6482 0.2557
Y 0.9121 0.1840 0.2557
Y 0.6482 0.9121 0.2557
Y 0.3518 0.0879 0.7443
Y 0.0879 0.8160 0.7443
Y 0.8160 0.3518 0.7443
Sb 0.4612 0.7069 0.7537
Sb 0.7069 0.0782 0.7537
Sb 0.0782 0.4612 0.7537
Sb 0.9218 0.5388 0.2463
Sb 0.2931 0.9218 0.2463
Sb 0.5388 0.2931 0.2463

---

Density functional theory data (GGA-PBE) for a geometry-optimized PrY3Sb2 structure.

As for the space group: C2/m. The raw formation energy comes out at -729 meV/atom. For the uncorrected energy, the calculation gives -6.132 eV/atom.

Cell lengths 4.4118, 10.6035, 9.7220 Å; angles 124.59, 90.00, 102.01 degrees
Last column: magnetic moment on the atom in μB.
Fractional positions:
Pr 0.8891 0.7782 0.9000  0.00
Pr 0.1109 0.2218 0.1000  0.00
Y 0.3115 0.6230 0.5155  0.20
Y 0.9424 0.8849 0.5626  0.08
Y 0.6459 0.2917 0.8141  0.01
Y 0.3541 0.7083 0.1859  0.01
Y 0.0576 0.1151 0.4374  0.08
Y 0.6885 0.3770 0.4845  0.20
Sb 0.4894 0.9787 0.8213  0.00
Sb 0.5106 0.0213 0.1787  0.00
Sb 0.7549 0.5098 0.2274  0.00
Sb 0.2451 0.4902 0.7726  0.00

---

Density functional theory data (GGA-PBE) for a geometry-optimized Pr2YSb3 structure.

Its relative energy among the computed polymorphs is 0.000 eV/atom. As for the space group: C2/m. The raw formation energy comes out at -1177 meV/atom. For the uncorrected energy, the calculation gives -5.909 eV/atom.

Cell lengths 7.8048, 7.8048, 7.7992 Å; angles 99.61, 99.61, 120.00 degrees
Fractional positions:
Pr 0.8333 0.1667 0.5000
Pr 0.3333 0.6667 0.0000
Pr 0.1688 0.8312 0.5000
Pr 0.4979 0.5021 0.5000
Y 0.0008 0.9992 0.0000
Y 0.6658 0.3342 0.0000
Sb 0.5921 0.9255 0.7586
Sb 0.0745 0.4079 0.2414
Sb 0.9131 0.5851 0.7561
Sb 0.2518 0.2464 0.7561
Sb 0.4149 0.0869 0.2439
Sb 0.7536 0.7482 0.2439

---

Density functional theory data (GGA-PBE) for a geometry-optimized PrYSb2 structure.

Its relative energy among the computed polymorphs is 0.125 eV/atom. As for the space group: R3m. The raw formation energy comes out at -1050 meV/atom. For the uncorrected energy, the calculation gives -5.922 eV/atom.

Cell lengths 4.4453, 4.4453, 8.0092 Å; angles 73.89, 73.89, 60.00 degrees
Fractional positions:
Pr 0.6690 0.6690 0.9930
Y 0.4979 0.4979 0.5064
Sb 0.0852 0.0852 0.7443
Sb 0.2479 0.2479 0.2564

---

Density functional theory data (GGA-PBE) for a geometry-optimized Pr2YSb structure.

Its relative energy among the computed polymorphs is 0.234 eV/atom. As for the space group: Fm-3m. The raw formation energy comes out at -291 meV/atom. For the uncorrected energy, the calculation gives -5.328 eV/atom.

Cell lengths 5.5682, 5.5682, 5.5688 Å; angles 60.00, 60.00, 60.00 degrees
Fractional positions:
Pr 0.2500 0.2500 0.2500
Pr 0.7500 0.7500 0.7500
Sb 0.5000 0.5000 0.5000
Y 0.0000 0.0000 0.0000

---

Density functional theory data (GGA-PBE) for a geometry-optimized PrYSb2 structure.

Its relative energy among the computed polymorphs is 0.003 eV/atom. As for the space group: Pmmn. The raw formation energy comes out at -1172 meV/atom. For the uncorrected energy, the calculation gives -6.044 eV/atom.

Cell lengths 4.4742, 6.3383, 8.9450 Å; angles 90.00, 90.00, 90.00 degrees
Fractional positions:
Pr 0.0000 0.5000 0.8732
Pr 0.5000 0.0000 0.1268
Y 0.5000 0.0000 0.6243
Y 0.0000 0.5000 0.3757
Sb 0.0000 0.0000 0.8680
Sb 0.0000 0.0000 0.3829
Sb 0.5000 0.5000 0.6171
Sb 0.5000 0.5000 0.1320

---

Density functional theory data (GGA-PBE) for a geometry-optimized Pr2YSb2 structure.

As for the space group: Ibam. The raw formation energy comes out at -873 meV/atom. For the uncorrected energy, the calculation gives -5.726 eV/atom.

Cell lengths 6.4493, 8.6013, 8.0758 Å; angles 122.18, 113.53, 90.00 degrees
Last column: magnetic moment on the atom in μB.
Fractional positions:
Pr 0.8487 0.7067 0.6974  0.00
Pr 0.1513 0.2933 0.3026  0.00
Pr 0.6513 0.0094 0.3026  0.00
Pr 0.3487 0.9906 0.6974  0.00
Y 0.7500 0.5000 0.0000  0.19
Y 0.2500 0.5000 0.0000  0.19
Sb 0.3931 0.6681 0.7861  0.00
Sb 0.6069 0.3319 0.2139  0.00
Sb 0.1069 0.8820 0.2139  0.00
Sb 0.8931 0.1180 0.7861  0.00

---

Density functional theory data (GGA-PBE) for a geometry-optimized PrY2Sb structure.

Its relative energy among the computed polymorphs is 0.096 eV/atom. As for the space group: P4/mmm. The raw formation energy comes out at -500 meV/atom. For the uncorrected energy, the calculation gives -5.957 eV/atom.

Cell lengths 4.7821, 4.9041, 4.9041 Å; angles 90.00, 90.00, 90.00 degrees
Fractional positions:
Pr 0.5000 0.5000 0.5000
Sb 0.5000 0.0000 0.0000
Y 0.0000 0.0000 0.5000
Y 0.0000 0.5000 0.0000